K2Tl6CdSn | the Alexandria database | PBE-GGA | relaxed; size of the total moment = 0.00 μB/f.u.; DFT formation energy = 0.016 eV/atom; total energy = -42.293 eV/cell; calculated volume = 771.8 Å³/cell
1.0
8.2412 0.0000 0.0000
4.1206 7.1371 0.0000
4.1206 2.3790 13.1226
K Tl Cd Sn
4 12 2 2
direct
0.8513 0.8513 0.4461
0.1487 0.1487 0.5539
0.7058 0.7058 0.8826
0.2942 0.2942 0.1174
0.8699 0.3949 0.3404
0.3949 0.8699 0.3404
0.3949 0.3949 0.3404
0.1301 0.6051 0.6596
0.6051 0.1301 0.6596
0.6051 0.6051 0.6596
0.8070 0.1922 0.8085
0.1922 0.8070 0.8085
0.1922 0.1922 0.8085
0.1930 0.8078 0.1915
0.8078 0.1930 0.1915
0.8078 0.8078 0.1915
0.0000 0.0000 0.0000
0.5000 0.5000 0.5000
0.6158 0.6158 0.1527
0.3842 0.3842 0.8473

=====

YTl | the Alexandria database | PBE-GGA | relaxed; size of the total moment = 0.00 μB/f.u.; DFT formation energy = -0.291 eV/atom; total energy = -28.239 eV/cell; calculated volume = 170.7 Å³/cell
1.0
-3.9947 -5.2554 0.0180
-1.6364 -4.6935 -4.3440
2.7075 -5.8323 0.7124
Tl Y
3 3
direct
0.9675 0.9675 0.0329
0.3152 0.3152 0.4433
0.6286 0.6286 0.1892
0.6463 0.6463 0.6777
0.9796 0.9796 0.5261
0.2962 0.2962 0.9640

=====

NaNp2HgO8 | the Alexandria database | PBE-GGA | relaxed; size of the total moment = 0.00 μB/f.u.; total energy = -89.657 eV/cell; formation energy from raw total energies = -22.49 eV per formula unit; calculated volume = 194.7 Å³/cell
1.0
-4.7693 2.8652 -2.2930
-0.4190 -2.7438 5.3394
1.7831 5.2314 2.8282
Na Np Hg O
1 2 1 8
direct
0.0000 0.0000 0.0000
0.6667 0.3333 0.0623
0.3333 0.6667 0.9377
0.0000 0.0000 0.5000
0.9360 0.6091 0.8629
0.3909 0.3270 0.8629
0.6730 0.0640 0.8629
0.0640 0.3909 0.1371
0.6091 0.6730 0.1371
0.3270 0.9360 0.1371
0.6667 0.3333 0.3576
0.3333 0.6667 0.6424